1.
A plane-wave DFT calculation with GGA-PBE was carried out for a relaxed AgBr2Cl crystal.

Theoretical density (Mg/m³): 3.8
Final energy (eV/f.u.): -8.22
E_form (uncorrected) (eV per atom): -0.0443

Structure (CIF):
```
data_AgBr2Cl
_space_group_name_H-M_alt 'P 1'
_space_group_IT_number 1
_cell_length_a 4.578
_cell_length_b 4.578
_cell_length_c 8.514
_cell_angle_alpha 90.00
_cell_angle_beta 90.00
_cell_angle_gamma 131.54
loop_
_space_group_symop_operation_xyz
'x,y,z'
loop_
_atom_site_label
_atom_site_type_symbol
_atom_site_fract_x
_atom_site_fract_y
_atom_site_fract_z
Ag1 Ag 0.000 0.000 0.000
Br1 Br 0.000 0.000 0.531
Br2 Br 0.500 0.500 0.789
Cl1 Cl 0.500 0.500 0.186
```



2.
A plane-wave DFT calculation with GGA-PBE was carried out for a relaxed Ag2BrCl4 crystal.

Theoretical density (Mg/m³): 3.5
Final energy (eV/f.u.): -16.70
E_form (uncorrected) (eV per atom): -0.2770

Structure (CIF):
```
data_Ag2BrCl4
_space_group_name_H-M_alt 'P 1'
_space_group_IT_number 1
_cell_length_a 7.876
_cell_length_b 7.942
_cell_length_c 8.115
_cell_angle_alpha 66.54
_cell_angle_beta 66.17
_cell_angle_gamma 67.18
loop_
_space_group_symop_operation_xyz
'x,y,z'
loop_
_atom_site_label
_atom_site_type_symbol
_atom_site_fract_x
_atom_site_fract_y
_atom_site_fract_z
Ag1 Ag 0.000 0.000 0.000
Ag2 Ag 0.000 0.000 0.500
Ag3 Ag 0.000 0.500 0.000
Ag4 Ag 0.500 0.000 0.000
Br1 Br 0.429 0.275 0.270
Br2 Br 0.571 0.725 0.730
Cl1 Cl 0.088 0.332 0.334
Cl2 Cl 0.232 0.776 0.790
Cl3 Cl 0.238 0.230 0.860
Cl4 Cl 0.255 0.846 0.255
Cl5 Cl 0.745 0.154 0.745
Cl6 Cl 0.762 0.770 0.140
Cl7 Cl 0.768 0.224 0.210
Cl8 Cl 0.912 0.668 0.666
```



3.
A plane-wave DFT calculation with GGA-PBE was carried out for a relaxed AgBr2Cl crystal.

Theoretical density (Mg/m³): 4.0
Final energy (eV/f.u.): -8.57
E_form (uncorrected) (eV per atom): -0.1310

Structure (CIF):
```
data_AgBr2Cl
_space_group_name_H-M_alt 'P 1'
_space_group_IT_number 1
_cell_length_a 8.206
_cell_length_b 8.206
_cell_length_c 8.206
_cell_angle_alpha 30.46
_cell_angle_beta 30.46
_cell_angle_gamma 30.46
loop_
_space_group_symop_operation_xyz
'x,y,z'
loop_
_atom_site_label
_atom_site_type_symbol
_atom_site_fract_x
_atom_site_fract_y
_atom_site_fract_z
Ag1 Ag 0.000 0.000 0.000
Br1 Br 0.395 0.395 0.395
Br2 Br 0.605 0.605 0.605
Cl1 Cl 0.500 0.500 0.500
```



4.
A plane-wave DFT calculation with GGA-PBE was carried out for a relaxed AgBr2Cl6 crystal.

Theoretical density (Mg/m³): 2.3
Final energy (eV/f.u.): -18.28
E_form (uncorrected) (eV per atom): -0.1114

Structure (CIF):
```
data_AgBr2Cl6
_space_group_name_H-M_alt 'P 1'
_space_group_IT_number 1
_cell_length_a 7.960
_cell_length_b 7.960
_cell_length_c 12.029
_cell_angle_alpha 93.94
_cell_angle_beta 93.94
_cell_angle_gamma 113.96
loop_
_space_group_symop_operation_xyz
'x,y,z'
loop_
_atom_site_label
_atom_site_type_symbol
_atom_site_fract_x
_atom_site_fract_y
_atom_site_fract_z
Ag1 Ag 0.235 0.765 0.750
Ag2 Ag 0.765 0.235 0.250
Br1 Br 0.228 0.262 0.758
Br2 Br 0.262 0.228 0.258
Br3 Br 0.738 0.772 0.742
Br4 Br 0.772 0.738 0.242
Cl1 Cl 0.037 0.253 0.375
Cl2 Cl 0.051 0.439 0.942
Cl3 Cl 0.204 0.478 0.637
Cl4 Cl 0.253 0.037 0.875
Cl5 Cl 0.439 0.051 0.442
Cl6 Cl 0.478 0.204 0.137
Cl7 Cl 0.522 0.796 0.863
Cl8 Cl 0.561 0.949 0.558
Cl9 Cl 0.747 0.963 0.125
Cl10 Cl 0.796 0.522 0.363
Cl11 Cl 0.949 0.561 0.058
Cl12 Cl 0.963 0.747 0.625
```



5.
A plane-wave DFT calculation with GGA-PBE was carried out for a relaxed AgBr3Cl crystal.

Theoretical density (Mg/m³): 4.3
Final energy (eV/f.u.): -8.39
E_form (uncorrected) (eV per atom): 0.2655

Structure (CIF):
```
data_AgBr3Cl
_space_group_name_H-M_alt 'P 1'
_space_group_IT_number 1
_cell_length_a 5.292
_cell_length_b 5.292
_cell_length_c 5.292
_cell_angle_alpha 90.00
_cell_angle_beta 90.00
_cell_angle_gamma 90.00
loop_
_space_group_symop_operation_xyz
'x,y,z'
loop_
_atom_site_label
_atom_site_type_symbol
_atom_site_fract_x
_atom_site_fract_y
_atom_site_fract_z
Ag1 Ag 0.000 0.000 0.000
Br1 Br 0.000 0.000 0.500
Br2 Br 0.000 0.500 0.000
Br3 Br 0.500 0.000 0.000
Cl1 Cl 0.500 0.500 0.500
```



6.
A plane-wave DFT calculation with GGA-PBE was carried out for a relaxed Ag3Br3Cl crystal.

Theoretical density (Mg/m³): 4.7
Final energy (eV/f.u.): -17.59
E_form (uncorrected) (eV per atom): -0.3102

Structure (CIF):
```
data_Ag3Br3Cl
_space_group_name_H-M_alt 'P 1'
_space_group_IT_number 1
_cell_length_a 9.359
_cell_length_b 9.359
_cell_length_c 5.567
_cell_angle_alpha 90.00
_cell_angle_beta 90.00
_cell_angle_gamma 119.99
loop_
_space_group_symop_operation_xyz
'x,y,z'
loop_
_atom_site_label
_atom_site_type_symbol
_atom_site_fract_x
_atom_site_fract_y
_atom_site_fract_z
Ag1 Ag 0.175 0.825 0.750
Ag2 Ag 0.176 0.351 0.750
Ag3 Ag 0.351 0.176 0.250
Ag4 Ag 0.649 0.824 0.750
Ag5 Ag 0.824 0.649 0.250
Ag6 Ag 0.825 0.175 0.250
Br1 Br 0.166 0.834 0.250
Br2 Br 0.167 0.333 0.250
Br3 Br 0.333 0.167 0.750
Br4 Br 0.667 0.833 0.250
Br5 Br 0.833 0.667 0.750
Br6 Br 0.834 0.166 0.750
Cl1 Cl 0.333 0.667 0.750
Cl2 Cl 0.667 0.333 0.250
```



7.
A plane-wave DFT calculation with GGA-PBE was carried out for a relaxed AgBr2Cl crystal.

Theoretical density (Mg/m³): 4.1
Final energy (eV/f.u.): -8.16
E_form (uncorrected) (eV per atom): -0.0292

Structure (CIF):
```
data_AgBr2Cl
_space_group_name_H-M_alt 'P 1'
_space_group_IT_number 1
_cell_length_a 8.326
_cell_length_b 8.326
_cell_length_c 8.326
_cell_angle_alpha 152.60
_cell_angle_beta 152.60
_cell_angle_gamma 39.14
loop_
_space_group_symop_operation_xyz
'x,y,z'
loop_
_atom_site_label
_atom_site_type_symbol
_atom_site_fract_x
_atom_site_fract_y
_atom_site_fract_z
Ag1 Ag 0.000 0.000 0.000
Br1 Br 0.250 0.750 0.500
Br2 Br 0.750 0.250 0.500
Cl1 Cl 0.500 0.500 0.000
```



8.
A plane-wave DFT calculation with GGA-PBE was carried out for a relaxed Ag2Br3Cl crystal.

Theoretical density (Mg/m³): 4.3
Final energy (eV/f.u.): -13.95
E_form (uncorrected) (eV per atom): -0.2306

Structure (CIF):
```
data_Ag2Br3Cl
_space_group_name_H-M_alt 'P 1'
_space_group_IT_number 1
_cell_length_a 4.349
_cell_length_b 8.877
_cell_length_c 9.995
_cell_angle_alpha 88.96
_cell_angle_beta 79.28
_cell_angle_gamma 83.97
loop_
_space_group_symop_operation_xyz
'x,y,z'
loop_
_atom_site_label
_atom_site_type_symbol
_atom_site_fract_x
_atom_site_fract_y
_atom_site_fract_z
Ag1 Ag 0.083 0.091 0.154
Ag2 Ag 0.111 0.773 0.472
Ag3 Ag 0.889 0.227 0.528
Ag4 Ag 0.917 0.909 0.846
Br1 Br 0.102 0.645 0.733
Br2 Br 0.240 0.823 0.027
Br3 Br 0.310 0.362 0.645
Br4 Br 0.690 0.638 0.355
Br5 Br 0.760 0.177 0.973
Br6 Br 0.898 0.355 0.267
Cl1 Cl 0.312 0.021 0.354
Cl2 Cl 0.688 0.979 0.646
```



9.
A plane-wave DFT calculation with GGA-PBE was carried out for a relaxed AgBr2Cl crystal.

Theoretical density (Mg/m³): 3.9
Final energy (eV/f.u.): -8.16
E_form (uncorrected) (eV per atom): -0.0290

Structure (CIF):
```
data_AgBr2Cl
_space_group_name_H-M_alt 'P 1'
_space_group_IT_number 1
_cell_length_a 4.655
_cell_length_b 4.655
_cell_length_c 7.904
_cell_angle_alpha 90.00
_cell_angle_beta 90.00
_cell_angle_gamma 130.91
loop_
_space_group_symop_operation_xyz
'x,y,z'
loop_
_atom_site_label
_atom_site_type_symbol
_atom_site_fract_x
_atom_site_fract_y
_atom_site_fract_z
Ag1 Ag 0.000 0.000 0.000
Br1 Br 0.500 0.500 0.215
Br2 Br 0.500 0.500 0.785
Cl1 Cl 0.000 0.000 0.500
```



10.
A plane-wave DFT calculation with GGA-PBE was carried out for a relaxed Cs2AgBr2Cl4 crystal.

Theoretical density (Mg/m³): 3.6
Final energy (eV/f.u.): -24.12
E_form (uncorrected) (eV per atom): -0.9807

Structure (CIF):
```
data_Cs2AgBr2Cl4
_space_group_name_H-M_alt 'P 1'
_space_group_IT_number 1
_cell_length_a 7.406
_cell_length_b 7.406
_cell_length_c 7.406
_cell_angle_alpha 110.74
_cell_angle_beta 110.74
_cell_angle_gamma 106.95
loop_
_space_group_symop_operation_xyz
'x,y,z'
loop_
_atom_site_label
_atom_site_type_symbol
_atom_site_fract_x
_atom_site_fract_y
_atom_site_fract_z
Cs1 Cs 0.250 0.750 0.500
Cs2 Cs 0.750 0.250 0.500
Ag1 Ag 0.000 0.000 0.000
Br1 Br 0.366 0.366 0.000
Br2 Br 0.634 0.634 0.000
Cl1 Cl 0.206 0.206 0.413
Cl2 Cl 0.206 0.794 0.000
Cl3 Cl 0.794 0.206 0.000
Cl4 Cl 0.794 0.794 0.587
```



11.
A plane-wave DFT calculation with GGA-PBE was carried out for a relaxed Cs6AgBr3Cl2 crystal.

Theoretical density (Mg/m³): 3.4
Final energy (eV/f.u.): -34.99
E_form (uncorrected) (eV per atom): -1.5257

Structure (CIF):
```
data_Cs6AgBr3Cl2
_space_group_name_H-M_alt 'P 1'
_space_group_IT_number 1
_cell_length_a 11.588
_cell_length_b 11.588
_cell_length_c 10.409
_cell_angle_alpha 102.86
_cell_angle_beta 102.86
_cell_angle_gamma 25.79
loop_
_space_group_symop_operation_xyz
'x,y,z'
loop_
_atom_site_label
_atom_site_type_symbol
_atom_site_fract_x
_atom_site_fract_y
_atom_site_fract_z
Cs1 Cs 0.004 0.004 0.260
Cs2 Cs 0.330 0.330 0.907
Cs3 Cs 0.331 0.331 0.424
Cs4 Cs 0.669 0.669 0.576
Cs5 Cs 0.670 0.670 0.093
Cs6 Cs 0.996 0.996 0.740
Ag1 Ag 0.500 0.500 0.000
Br1 Br 0.165 0.165 0.830
Br2 Br 0.500 0.500 0.500
Br3 Br 0.835 0.835 0.170
Cl1 Cl 0.169 0.169 0.336
Cl2 Cl 0.831 0.831 0.664
```



12.
A plane-wave DFT calculation with GGA-PBE was carried out for a relaxed CsAgBr2Cl crystal.

Theoretical density (Mg/m³): 4.6
Final energy (eV/f.u.): -13.66
E_form (uncorrected) (eV per atom): -0.9533

Structure (CIF):
```
data_CsAgBr2Cl
_space_group_name_H-M_alt 'P 1'
_space_group_IT_number 1
_cell_length_a 5.455
_cell_length_b 5.455
_cell_length_c 5.281
_cell_angle_alpha 90.00
_cell_angle_beta 90.00
_cell_angle_gamma 90.00
loop_
_space_group_symop_operation_xyz
'x,y,z'
loop_
_atom_site_label
_atom_site_type_symbol
_atom_site_fract_x
_atom_site_fract_y
_atom_site_fract_z
Cs1 Cs 0.000 0.000 0.000
Ag1 Ag 0.500 0.500 0.500
Br1 Br 0.000 0.500 0.500
Br2 Br 0.500 0.000 0.500
Cl1 Cl 0.500 0.500 0.000
```



13.
A plane-wave DFT calculation with GGA-PBE was carried out for a relaxed CsAgBr2Cl crystal.

Theoretical density (Mg/m³): 3.0
Final energy (eV/f.u.): -12.70
E_form (uncorrected) (eV per atom): -0.7608

Structure (CIF):
```
data_CsAgBr2Cl
_space_group_name_H-M_alt 'P 1'
_space_group_IT_number 1
_cell_length_a 5.129
_cell_length_b 5.129
_cell_length_c 9.232
_cell_angle_alpha 90.00
_cell_angle_beta 90.00
_cell_angle_gamma 90.00
loop_
_space_group_symop_operation_xyz
'x,y,z'
loop_
_atom_site_label
_atom_site_type_symbol
_atom_site_fract_x
_atom_site_fract_y
_atom_site_fract_z
Cs1 Cs 0.000 0.000 0.000
Ag1 Ag 0.000 0.000 0.500
Br1 Br 0.000 0.500 0.500
Br2 Br 0.500 0.000 0.500
Cl1 Cl 0.500 0.500 0.000
```



14.
A plane-wave DFT calculation with GGA-PBE was carried out for a relaxed CsAg2Br2Cl crystal.

Theoretical density (Mg/m³): 4.2
Final energy (eV/f.u.): -17.01
E_form (uncorrected) (eV per atom): -0.8764

Structure (CIF):
```
data_CsAg2Br2Cl
_space_group_name_H-M_alt 'P 1'
_space_group_IT_number 1
_cell_length_a 8.695
_cell_length_b 5.868
_cell_length_c 8.723
_cell_angle_alpha 90.00
_cell_angle_beta 105.98
_cell_angle_gamma 90.00
loop_
_space_group_symop_operation_xyz
'x,y,z'
loop_
_atom_site_label
_atom_site_type_symbol
_atom_site_fract_x
_atom_site_fract_y
_atom_site_fract_z
Cs1 Cs 0.222 0.250 0.280
Cs2 Cs 0.778 0.750 0.720
Ag1 Ag 0.315 0.000 0.818
Ag2 Ag 0.315 0.500 0.818
Ag3 Ag 0.685 0.000 0.182
Ag4 Ag 0.685 0.500 0.182
Br1 Br 0.067 0.250 0.841
Br2 Br 0.336 0.750 0.569
Br3 Br 0.664 0.250 0.431
Br4 Br 0.933 0.750 0.159
Cl1 Cl 0.403 0.750 0.098
Cl2 Cl 0.597 0.250 0.902
```



15.
A plane-wave DFT calculation with GGA-PBE was carried out for a relaxed Cs6Ag2BrCl3 crystal.

Theoretical density (Mg/m³): 3.4
Final energy (eV/f.u.): -32.92
E_form (uncorrected) (eV per atom): -1.2401

Structure (CIF):
```
data_Cs6Ag2BrCl3
_space_group_name_H-M_alt 'P 1'
_space_group_IT_number 1
_cell_length_a 11.629
_cell_length_b 11.629
_cell_length_c 10.451
_cell_angle_alpha 103.95
_cell_angle_beta 103.95
_cell_angle_gamma 25.50
loop_
_space_group_symop_operation_xyz
'x,y,z'
loop_
_atom_site_label
_atom_site_type_symbol
_atom_site_fract_x
_atom_site_fract_y
_atom_site_fract_z
Cs1 Cs 0.003 0.003 0.246
Cs2 Cs 0.331 0.331 0.427
Cs3 Cs 0.340 0.340 0.899
Cs4 Cs 0.660 0.660 0.101
Cs5 Cs 0.669 0.669 0.573
Cs6 Cs 0.997 0.997 0.754
Ag1 Ag 0.169 0.169 0.839
Ag2 Ag 0.831 0.831 0.161
Br1 Br 0.500 0.500 0.500
Cl1 Cl 0.166 0.166 0.338
Cl2 Cl 0.500 0.500 0.000
Cl3 Cl 0.834 0.834 0.662
```



16.
A plane-wave DFT calculation with GGA-PBE was carried out for a relaxed Cs4AgBr2Cl crystal.

Theoretical density (Mg/m³): 3.4
Final energy (eV/f.u.): -22.26
E_form (uncorrected) (eV per atom): -1.3509

Structure (CIF):
```
data_Cs4AgBr2Cl
_space_group_name_H-M_alt 'P 1'
_space_group_IT_number 1
_cell_length_a 9.040
_cell_length_b 5.198
_cell_length_c 9.072
_cell_angle_alpha 90.00
_cell_angle_beta 109.20
_cell_angle_gamma 90.00
loop_
_space_group_symop_operation_xyz
'x,y,z'
loop_
_atom_site_label
_atom_site_type_symbol
_atom_site_fract_x
_atom_site_fract_y
_atom_site_fract_z
Cs1 Cs 0.246 0.000 0.240
Cs2 Cs 0.253 0.500 0.762
Cs3 Cs 0.747 0.500 0.238
Cs4 Cs 0.754 0.000 0.760
Ag1 Ag 0.000 0.000 0.500
Br1 Br 0.500 0.000 0.000
Br2 Br 0.500 0.500 0.500
Cl1 Cl 0.000 0.500 0.000
```



17.
A plane-wave DFT calculation with GGA-PBE was carried out for a relaxed Cs3Ag2Br4Cl2 crystal.

Theoretical density (Mg/m³): 4.0
Final energy (eV/f.u.): -31.81
E_form (uncorrected) (eV per atom): -1.1969

Structure (CIF):
```
data_Cs3Ag2Br4Cl2
_space_group_name_H-M_alt 'P 1'
_space_group_IT_number 1
_cell_length_a 15.186
_cell_length_b 15.186
_cell_length_c 15.186
_cell_angle_alpha 159.85
_cell_angle_beta 159.85
_cell_angle_gamma 28.65
loop_
_space_group_symop_operation_xyz
'x,y,z'
loop_
_atom_site_label
_atom_site_type_symbol
_atom_site_fract_x
_atom_site_fract_y
_atom_site_fract_z
Cs1 Cs 0.000 0.000 0.000
Cs2 Cs 0.186 0.186 0.000
Cs3 Cs 0.814 0.814 0.000
Ag1 Ag 0.394 0.394 0.000
Ag2 Ag 0.606 0.606 0.000
Br1 Br 0.087 0.587 0.500
Br2 Br 0.413 0.913 0.500
Br3 Br 0.587 0.087 0.500
Br4 Br 0.913 0.413 0.500
Cl1 Cl 0.303 0.303 0.000
Cl2 Cl 0.697 0.697 0.000
```